VASP calculation (GGA-PBE) on a relaxed BeAgRu2 crystal.

Results
M_tot: 0.0 μB per cell
Calculated volume: 13.69 Å³ per atom
ΔH_f (0 K): 0.369 eV/atom

Cell: 3.886 3.886 7.251 Å, 90.00 90.00 90.00°
Space group I-4m2 (No. 119)
Inequivalent atoms, fractional coordinates:
1 Be 0.000 0.000 0.000 x2
2 Ag 0.000 0.500 0.250 x2
3 Ru 0.000 0.000 0.500 x2
4 Ru 0.000 0.500 0.750 x2